--- a ---
Below is a relaxed Re2SiPb crystal, with properties calculated at the GGA-PBE level.

```
4
Lattice="-0.837 -1.509 -2.462 2.076 -2.096 0.579 -5.457 -4.186 4.419" Properties=species:S:1:pos:R:3 pbc="T T T"
Re -0.293 -0.225 0.237
Re -0.705 -2.819 0.131
Pb -3.588 -5.030 2.466
Si -2.360 -1.810 1.911
```

***

--- b ---
Below is a relaxed Re2SiPb crystal, with properties calculated at the GGA-PBE level.

```
4
Lattice="3.123 0.000 0.000 0.000 3.123 0.000 0.000 0.000 6.927" Properties=species:S:1:pos:R:3 pbc="T T T"
Pb 1.562 1.562 5.195
Re 0.000 0.000 0.434
Re 0.000 0.000 3.029
Si 1.562 1.562 1.732
```

***

Quick one: most stable of them? a

***

--- a ---
Below is a relaxed B5C7 crystal, with properties calculated at the GGA-PBE level.

```
12
Lattice="-2.252 0.894 0.836 -0.842 -3.964 1.971 2.977 2.187 5.682" Properties=species:S:1:pos:R:3 pbc="T T T"
C 1.449 -0.069 3.978
C 1.425 0.630 7.094
C 0.675 1.196 4.469
C -0.855 -0.950 2.642
C 1.469 -1.140 5.178
C -0.026 -1.508 5.473
C 2.169 -0.580 6.464
B 0.683 -0.837 2.736
B -0.812 -3.852 1.933
B 1.351 1.621 5.838
B 0.714 0.514 1.375
B -0.702 -1.912 4.083
```

***

--- b ---
Below is a relaxed B5C7 crystal, with properties calculated at the GGA-PBE level.

```
12
Lattice="2.629 0.000 0.000 -1.315 2.277 0.000 0.000 0.000 14.602" Properties=species:S:1:pos:R:3 pbc="T T T"
C 1.315 0.759 10.757
C 0.000 0.000 0.318
C 1.315 0.759 2.915
C 0.000 0.000 6.751
C 1.315 0.759 4.417
C 0.000 1.518 2.379
C 0.000 1.518 0.842
B 0.000 0.000 13.345
B 0.000 1.518 6.911
B 1.315 0.759 12.320
B 0.000 0.000 5.079
B 0.000 1.518 10.624
```

***

Quick one: most stable of them? b